No. 1
A plane-wave DFT calculation with PBE-GGA was carried out for a relaxed structure of Pu3Al7Au2.

a b c (Å): 5.5555 5.5555 26.3038
angles (deg): 90.00 90.00 120.00
Space group R-3m (No. 166, hexagonal axes)
Inequivalent atoms, fractional coordinates:
Pu  0.0000  0.0000  0.0000 x3
Pu  0.0000  0.0000  0.1446 x6
Al  0.0000  0.0000  0.5000 x3
Al  0.0082  0.5041  0.9172 x18
Au  0.0000  0.0000  0.3362 x6

Computed properties:
E_tot = -6.720 eV/atom
Spin magnetization = 49.66 μB/cell

=====

No. 2
A plane-wave DFT calculation with PBE-GGA was carried out for a relaxed structure of SmDy2Ga3Ni3.

a b c (Å): 3.7687 12.2021 7.0535
angles (deg): 90.00 90.00 90.00
Space group Amm2 (No. 38)
Inequivalent atoms, fractional coordinates:
Sm  0.0000  0.0000  0.0000 x2
Dy  0.0000  0.2063  0.3787 x4
Ga  0.5000  0.0000  0.3447 x2
Ga  0.5000  0.1239  0.7053 x4
Ni  0.0000  0.0000  0.5839 x2
Ni  0.5000  0.1692  0.0860 x4

Computed properties:
E_tot = -5.031 eV/atom
Spin magnetization = 0.03 μB/cell

=====

No. 3
A plane-wave DFT calculation with PBE-GGA was carried out for a relaxed structure of NdMgNp.

a b c (Å): 7.2574 7.2574 7.2574
angles (deg): 90.00 90.00 90.00
Space group F-43m (No. 216)
Inequivalent atoms, fractional coordinates:
Nd  0.0000  0.0000  0.0000 x4
Mg  0.2500  0.2500  0.2500 x4
Np  0.0000  0.0000  0.5000 x4

Computed properties:
Energy relative to the lowest polymorph listed for this composition = 0.000 eV per atom
Spin magnetization = 24.36 μB/cell

=====

No. 4
A plane-wave DFT calculation with PBE-GGA was carried out for a relaxed structure of Dy3Co8Ni.

a b c (Å): 4.9176 4.9176 24.4621
angles (deg): 90.00 90.00 120.00
Space group R-3m (No. 166, hexagonal axes)
Inequivalent atoms, fractional coordinates:
Dy  0.0000  0.0000  0.0000 x3
Dy  0.0000  0.0000  0.1392 x6
Co  0.0000  0.0000  0.3336 x6
Co  0.0005  0.5003  0.9194 x18
Ni  0.0000  0.0000  0.5000 x3

Computed properties:
Energy relative to the elements = -2.4 eV per formula unit
Spin magnetization = 26.88 μB/cell

=====

No. 5
A plane-wave DFT calculation with PBE-GGA was carried out for a relaxed structure of KLiPr.

a b c (Å): 7.8504 7.8504 7.8504
angles (deg): 90.00 90.00 90.00
Space group F-43m (No. 216)
Inequivalent atoms, fractional coordinates:
K  0.0000  0.0000  0.0000 x4
Li  0.2500  0.2500  0.7500 x4
Pr  0.2500  0.2500  0.2500 x4

Computed properties:
E_tot = -1.622 eV/atom
Spin magnetization = 5.81 μB/cell

=====

No. 6
A plane-wave DFT calculation with PBE-GGA was carried out for a relaxed structure of Be2SiAu.

a b c (Å): 4.6423 3.0216 14.6505
angles (deg): 90.00 90.08 90.00
Space group C2/m (No. 12)
Inequivalent atoms, fractional coordinates:
Be  0.1910  0.0000  0.1214 x4
Be  0.1912  0.0000  0.3787 x4
Si  0.0000  0.5000  0.0000 x2
Si  0.0000  0.5000  0.5000 x2
Au  0.0553  0.5000  0.2499 x4

Computed properties:
E_tot = -3.825 eV/atom

=====

No. 7
A plane-wave DFT calculation with PBE-GGA was carried out for a relaxed structure of ErTcPO.

a b c (Å): 4.3784 4.3784 8.0914
angles (deg): 90.00 90.00 90.00
Space group P4/nmm (No. 129, origin choice 2)
Inequivalent atoms, fractional coordinates:
Er  0.2500  0.7500  0.0000 x2
Tc  0.2500  0.2500  0.4861 x2
P  0.2500  0.2500  0.1933 x2
O  0.2500  0.7500  0.5000 x2

Computed properties:
Energy relative to the lowest polymorph listed for this composition = 1.659 eV per atom
Spin magnetization = 6.21 μB/cell

=====

No. 8
A plane-wave DFT calculation with PBE-GGA was carried out for a relaxed structure of Nd2Ni7P4.

a b c (Å): 3.7558 9.2259 10.4157
angles (deg): 90.00 90.00 90.00
Space group Pmn2_1 (No. 31)
Inequivalent atoms, fractional coordinates:
Nd  0.0000  0.0600  0.0000 x2
Nd  0.0000  0.4368  0.2180 x2
Ni  0.0000  0.0603  0.6971 x2
Ni  0.0000  0.0970  0.3019 x2
Ni  0.0000  0.3055  0.7918 x2
Ni  0.0000  0.4170  0.5231 x2
Ni  0.0000  0.6821  0.4800 x2
Ni  0.0000  0.7267  0.8884 x2
Ni  0.0000  0.7465  0.1201 x2
P  0.0000  0.1832  0.5053 x2
P  0.0000  0.4778  0.9353 x2
P  0.0000  0.8132  0.6866 x2
P  0.0000  0.8429  0.3077 x2

Computed properties:
E_tot = -6.248 eV/atom
Spin magnetization = 0.01 μB/cell

=====

No. 9
A plane-wave DFT calculation with PBE-GGA was carried out for a relaxed structure of CsTbCoTe3.

a b c (Å): 10.0792 4.3098 11.1509
angles (deg): 90.00 114.14 90.00
Space group P2_1/m (No. 11)
Inequivalent atoms, fractional coordinates:
Cs  0.2366  0.2500  0.2779 x2
Tb  0.3232  0.7500  0.8604 x2
Co  0.0730  0.2500  0.5891 x2
Te  0.0960  0.2500  0.8301 x2
Te  0.1923  0.7500  0.5506 x2
Te  0.4672  0.7500  0.1597 x2

Computed properties:
Energy relative to the lowest polymorph listed for this composition = 0.000 eV per atom
Spin magnetization = 4.02 μB/cell

=====

No. 10
A plane-wave DFT calculation with PBE-GGA was carried out for a relaxed structure of Ho3Mg3ZnIr2.

a b c (Å): 7.3430 7.3430 4.0260
angles (deg): 90.00 90.00 120.00
Space group P-62m (No. 189)
Inequivalent atoms, fractional coordinates:
Ho  0.0000  0.4206  0.0000 x3
Mg  0.0000  0.7498  0.5000 x3
Zn  0.0000  0.0000  0.0000 x1
Ir  0.3333  0.6667  0.5000 x2

Computed properties:
E_tot = -4.690 eV/atom
Spin magnetization = 0.01 μB/cell

=====

No. 11
A plane-wave DFT calculation with PBE-GGA was carried out for a relaxed structure of ErIr2.

a b c (Å): 7.5155 7.5155 7.5155
angles (deg): 90.00 90.00 90.00
Space group Fd-3m (No. 227, origin choice 2)
Inequivalent atoms, fractional coordinates:
Er  0.1250  0.1250  0.1250 x8
Ir  0.0000  0.0000  0.5000 x16

Computed properties:
Energy relative to the elements = -2.5 eV per formula unit
Spin magnetization = 0.00 μB/cell

=====

No. 12
A plane-wave DFT calculation with PBE-GGA was carried out for a relaxed structure of Zr4AsN3.

a b c (Å): 3.3344 3.3344 23.2262
angles (deg): 90.00 90.00 120.00
Space group P6_3/mmc (No. 194)
Inequivalent atoms, fractional coordinates:
Zr  0.0000  0.0000  0.1662 x4
Zr  0.3333  0.6667  0.0581 x4
As  0.3333  0.6667  0.2500 x2
N  0.0000  0.0000  0.0000 x2
N  0.3333  0.6667  0.6116 x4

Computed properties:
E_tot = -9.466 eV/atom
Spin magnetization = 0.00 μB/cell

=====

No. 13
A plane-wave DFT calculation with PBE-GGA was carried out for a relaxed structure of Na2Mg2GaGePd2.

a b c (Å): 4.6283 4.6283 6.5422
angles (deg): 90.00 90.00 90.00
Space group P-4m2 (No. 115)
Inequivalent atoms, fractional coordinates:
Na  0.0000  0.5000  0.2503 x2
Mg  0.0000  0.0000  0.0000 x1
Mg  0.5000  0.5000  0.5000 x1
Ga  0.0000  0.0000  0.5000 x1
Ge  0.5000  0.5000  0.0000 x1
Pd  0.0000  0.5000  0.7504 x2

Computed properties:
E_tot = -3.248 eV/atom

=====

No. 14
A plane-wave DFT calculation with PBE-GGA was carried out for a relaxed structure of NdMgPb.

a b c (Å): 4.5590 4.5590 16.3569
angles (deg): 90.00 90.00 90.00
Space group I4/mmm (No. 139)
Inequivalent atoms, fractional coordinates:
Nd  0.0000  0.0000  0.1629 x4
Mg  0.0000  0.5000  0.0000 x4
Pb  0.0000  0.0000  0.3642 x4

Computed properties:
E_tot = -3.813 eV/atom
Spin magnetization = 0.01 μB/cell

=====

No. 15
A plane-wave DFT calculation with PBE-GGA was carried out for a relaxed structure of ErAgGeTe3.

a b c (Å): 4.1837 14.4591 11.0782
angles (deg): 90.00 90.00 90.00
Space group Cmcm (No. 63)
Inequivalent atoms, fractional coordinates:
Er  0.0000  0.0000  0.0000 x4
Ag  0.0000  0.4782  0.2500 x4
Ge  0.0000  0.2174  0.7500 x4
Te  0.0000  0.1077  0.2500 x4
Te  0.0000  0.3500  0.0618 x8

Computed properties:
E_tot = -4.091 eV/atom
Spin magnetization = 0.00 μB/cell

=====

No. 16
A plane-wave DFT calculation with PBE-GGA was carried out for a relaxed structure of ZrSc3Hg5.

a b c (Å): 7.4036 7.4036 4.3386
angles (deg): 90.00 90.00 120.00
Space group P-62m (No. 189)
Inequivalent atoms, fractional coordinates:
Zr  0.0000  0.0000  0.0000 x1
Sc  0.0000  0.5667  0.0000 x3
Hg  0.0000  0.2512  0.5000 x3
Hg  0.3333  0.6667  0.5000 x2

Computed properties:
Energy relative to the elements = -0.7 eV per formula unit
Spin magnetization = 0.11 μB/cell

=====

No. 17
A plane-wave DFT calculation with PBE-GGA was carried out for a relaxed structure of HgPt9.

a b c (Å): 2.8178 2.8178 50.0210
angles (deg): 90.00 90.00 90.00
Space group P4/nmm (No. 129, origin choice 2)
Inequivalent atoms, fractional coordinates:
Hg  0.2500  0.2500  0.1215 x2
Pt  0.2500  0.2500  0.2068 x2
Pt  0.2500  0.2500  0.2853 x2
Pt  0.2500  0.2500  0.3635 x2
Pt  0.2500  0.2500  0.4414 x2
Pt  0.2500  0.2500  0.5195 x2
Pt  0.2500  0.2500  0.5975 x2
Pt  0.2500  0.2500  0.6756 x2
Pt  0.2500  0.2500  0.7539 x2
Pt  0.2500  0.2500  0.8331 x2

Computed properties:
Energy relative to the elements = 0.5 eV per formula unit
Spin magnetization = 0.00 μB/cell

=====

No. 18
A plane-wave DFT calculation with PBE-GGA was carried out for a relaxed structure of PrDy2Cu4Sn4.

a b c (Å): 4.4789 7.0605 14.8020
angles (deg): 90.00 90.00 90.00
Space group Immm (No. 71)
Inequivalent atoms, fractional coordinates:
Pr  0.0000  0.0000  0.0000 x2
Dy  0.0000  0.5000  0.1315 x4
Cu  0.0000  0.3121  0.3295 x8
Sn  0.0000  0.0000  0.2183 x4
Sn  0.0000  0.1969  0.5000 x4

Computed properties:
E_tot = -4.591 eV/atom
Spin magnetization = 0.02 μB/cell

=====

No. 19
A plane-wave DFT calculation with PBE-GGA was carried out for a relaxed structure of NaReB.

a b c (Å): 5.7933 5.7933 5.7933
angles (deg): 90.00 90.00 90.00
Space group F-43m (No. 216)
Inequivalent atoms, fractional coordinates:
Na  0.0000  0.0000  0.0000 x4
Re  0.2500  0.2500  0.2500 x4
B  0.2500  0.2500  0.7500 x4

Computed properties:
Energy relative to the lowest polymorph listed for this composition = 1.454 eV per atom
Spin magnetization = 11.08 μB/cell

=====

No. 20
A plane-wave DFT calculation with PBE-GGA was carried out for a relaxed structure of Hf2ZrNi2As4Pd2.

a b c (Å): 6.4849 3.8563 7.5652
angles (deg): 90.00 91.38 90.00
Space group Pm (No. 6)
Inequivalent atoms, fractional coordinates:
Hf  0.0000  0.0000  0.0000 x1
Hf  0.4365  0.5000  0.4962 x1
Zr  0.9357  0.5000  0.6307 x1
Ni  0.3264  0.5000  0.8671 x1
Ni  0.6135  0.0000  0.7553 x1
As  0.2379  0.0000  0.7018 x1
As  0.2601  0.5000  0.1729 x1
As  0.6990  0.5000  0.9284 x1
As  0.7098  0.0000  0.4424 x1
Pd  0.1207  0.0000  0.3717 x1
Pd  0.8352  0.5000  0.2427 x1

Computed properties:
Energy relative to the lowest polymorph listed for this composition = 0.012 eV per atom
Spin magnetization = 0.00 μB/cell

=====

No. 21
A plane-wave DFT calculation with PBE-GGA was carried out for a relaxed structure of GdCdSO.

a b c (Å): 7.0109 7.1093 12.8937
angles (deg): 90.00 90.00 90.00
Space group Pbca (No. 61)
Inequivalent atoms, fractional coordinates:
Gd  0.1096  0.0186  0.2316 x8
Cd  0.0408  0.2196  0.5311 x8
S  0.2186  0.0045  0.9255 x8
O  0.1301  0.6977  0.2104 x8

Computed properties:
E_tot = -5.295 eV/atom
Spin magnetization = 0.01 μB/cell